(1)
## BiPdBr6 (PBE-GGA)

Data for a geometry-optimized BiPdBr6 structure.

Results
SG   P-1 (2)

Cell: 6.6656 6.7022 7.2584 Å, 62.61 66.23 63.58°
With the nearest neighbours (Å) after each atom.
Atoms (fractional coordinates):
Bi 0.5000 0.5000 0.5000  6 Br 2.86-2.95
Pd 0.0000 0.0000 0.0000  6 Br 2.52-2.72
Br 0.0651 0.3949 0.7653  1 Pd 2.52
Br 0.7718 0.0555 0.7645  1 Pd 2.53
Br 0.6117 0.2297 0.2416  1 Pd 2.72, 1 Bi 2.86
Br 0.2282 0.9445 0.2355  1 Pd 2.53
Br 0.9349 0.6051 0.2347  1 Pd 2.52
Br 0.3883 0.7703 0.7584  1 Pd 2.72, 1 Bi 2.86



(2)
## BiPd3Br (PBE-GGA)

Data for a geometry-optimized BiPd3Br structure.

Results
SG   Pm-3m (221)

Cell: 4.8431 4.8431 4.8431 Å, 90.00 90.00 90.00°
With the nearest neighbours (Å) after each atom.
Atoms (fractional coordinates):
Br 0.0000 0.0000 0.0000  6 Pd 2.42
Bi 0.5000 0.5000 0.5000  12 Pd 3.42
Pd 0.0000 0.5000 0.0000  2 Br 2.42
Pd 0.0000 0.0000 0.5000  2 Br 2.42
Pd 0.5000 0.0000 0.0000  2 Br 2.42



(3)
## BiPdBr4 (PBE-GGA)

Data for a geometry-optimized BiPdBr4 structure.

Results
SG   C2/c (15)

Cell: 7.4406 7.4406 8.2189 Å, 90.17 90.17 68.98°
With the nearest neighbours (Å) after each atom.
Atoms (fractional coordinates):
Bi 0.5000 0.0000 0.5000  6 Br 2.85-2.96
Bi 0.0000 0.5000 0.0000  6 Br 2.85-2.96
Pd 0.9993 0.0007 0.2500  6 Br 2.72-2.78
Pd 0.0007 0.9993 0.7500  6 Br 2.72-2.78
Br 0.2238 0.2203 0.7517  1 Pd 2.72, 2 Bi 2.96
Br 0.2388 0.7975 0.4995  2 Pd 2.78, 1 Bi 2.85
Br 0.7612 0.2025 0.5005  2 Pd 2.78, 1 Bi 2.85
Br 0.2203 0.2238 0.2517  1 Pd 2.72, 2 Bi 2.96
Br 0.7797 0.7762 0.7483  1 Pd 2.72, 2 Bi 2.96
Br 0.2025 0.7612 0.0005  2 Pd 2.78, 1 Bi 2.85
Br 0.7975 0.2388 0.9995  2 Pd 2.78, 1 Bi 2.85
Br 0.7762 0.7797 0.2483  1 Pd 2.72, 2 Bi 2.96



(4)
## Bi2PdBr (PBE-GGA)

Data for a geometry-optimized Bi2PdBr structure.

Results
SG   Fm-3m (225)

Cell: 5.1810 5.1810 5.1810 Å, 60.00 60.00 60.00°
With the nearest neighbours (Å) after each atom.
Atoms (fractional coordinates):
Br 0.0000 0.0000 0.0000  8 Bi 3.17
Bi 0.2500 0.2500 0.2500  4 Pd 3.17, 4 Br 3.17
Bi 0.7500 0.7500 0.7500  4 Pd 3.17, 4 Br 3.17
Pd 0.5000 0.5000 0.5000  8 Bi 3.17



(5)
## Bi4PdBr (PBE-GGA)

Data for a geometry-optimized Bi4PdBr structure.

Results
SG   C2/m (12)

Cell: 6.8423 9.1890 8.8485 Å, 121.28 114.48 90.00°
With the nearest neighbours (Å) after each atom.
Atoms (fractional coordinates):
Bi 0.2319 0.6837 0.3674  2 Pd 2.81-3.09
Bi 0.4241 0.2075 0.7624  2 Pd 2.87-2.95, 1 Bi 3.19
Bi 0.0000 0.2514 0.0000  2 Pd 2.82
Bi 0.5759 0.4451 0.2376  2 Pd 2.87-2.95, 1 Bi 3.19
Bi 0.7681 0.3163 0.6326  2 Pd 2.81-3.09
Bi 0.5759 0.7925 0.2376  2 Pd 2.87-2.95, 1 Bi 3.19
Bi 0.0000 0.7486 0.0000  2 Pd 2.82
Bi 0.4241 0.5549 0.7624  2 Pd 2.87-2.95, 1 Bi 3.19
Pd 0.2105 0.4749 0.9497  8 Bi 2.81-3.09
Pd 0.7895 0.5251 0.0503  8 Bi 2.81-3.09
Br 0.1107 0.8633 0.7265  3 Bi 3.20-3.42
Br 0.8893 0.1367 0.2735  3 Bi 3.20-3.42



(6)
## Bi2PdBr (PBE-GGA)

Data for a geometry-optimized Bi2PdBr structure.

Results
SG   R-3m (166)

Cell: 4.2942 4.2942 7.7484 Å, 73.91 73.91 60.00°
With the nearest neighbours (Å) after each atom.
Atoms (fractional coordinates):
Br 0.5000 0.5000 0.5000  6 Bi 3.44
Bi 0.2751 0.2751 0.1747  3 Pd 2.79
Bi 0.7249 0.7249 0.8253  3 Pd 2.79
Pd 0.0000 0.0000 0.0000  6 Bi 2.79



(7)
## Bi2PdBr (PBE-GGA)

Data for a geometry-optimized Bi2PdBr structure.

Results
SG   I-42d (122)

Cell: 6.9198 6.9198 7.7844 Å, 63.61 63.61 90.00°
With the nearest neighbours (Å) after each atom.
Atoms (fractional coordinates):
Br 0.5000 0.5000 0.0000  4 Bi 3.16
Br 0.2500 0.7500 0.5000  4 Bi 3.16
Bi 0.6883 0.1250 0.2500  2 Pd 2.64
Bi 0.0617 0.6250 0.2500  2 Pd 2.64
Bi 0.3750 0.3117 0.7500  2 Pd 2.64
Bi 0.8750 0.9383 0.7500  2 Pd 2.64
Pd 0.0000 0.0000 0.0000  4 Bi 2.64
Pd 0.7500 0.2500 0.5000  4 Bi 2.64



(8)
## Bi2PdBr (PBE-GGA)

Data for a geometry-optimized Bi2PdBr structure.

Results
SG   R3m (160)

Cell: 4.3534 4.3534 7.6732 Å, 73.52 73.52 60.00°
With the nearest neighbours (Å) after each atom.
Atoms (fractional coordinates):
Bi 0.0569 0.0569 0.8294  3 Pd 2.81
Bi 0.2763 0.2763 0.1710  3 Pd 2.80
Pd 0.6662 0.6662 0.0013  6 Bi 2.80-2.81
Br 0.5006 0.5006 0.4983  6 Bi 3.46-3.48, 1 Pd 3.60



It is found that the formation energy without anion corrections values, taken in the order of the records, are -37.0 40.4 -36.4 8.3 -19.3 -30.5 3.6 -29.6 kJ/mol of atoms.